# KRbNa2Br PBE relaxed
data_KRbNa2Br
_chemical_formula_sum 'K1 Rb1 Na2 Br1'
_symmetry_space_group_name_H-M 'P 1'
_symmetry_Int_Tables_number 1
_symmetry_space_group_name_Hall 'P 1'
_cell_length_a 6.1935
_cell_length_b 6.1935
_cell_length_c 6.8021
_cell_angle_alpha 90.00
_cell_angle_beta 90.00
_cell_angle_gamma 90.00
loop_
_atom_site_label
_atom_site_type_symbol
_atom_site_fract_x
_atom_site_fract_y
_atom_site_fract_z
_atom_site_occupancy
K1 K 0.0000 0.0000 0.0000 1
Rb1 Rb 0.5000 0.5000 0.0000 1
Na1 Na 0.0000 0.5000 0.5000 1
Na2 Na 0.5000 0.0000 0.5000 1
Br1 Br 0.5000 0.5000 0.5000 1
# **Space-group type**: No. 123
# **Volume**: 52.2 Å³ per atom
# **Offset from the most stable computed form**: 0 meV per atom
# **Energy relative to the elements, uncorrected**: -0.488 eV/atom
# **Crystal system**: tetragonal
# **ρ**: 1.594 g cm⁻³
# **Magnetic moment**: 0.0 μB per cell